# 1
Entry from the Alexandria database: crystalline Pr2NpAsN5 at its relaxed geometry (PBE-GGA).

Its mass density is 8.22 g/cm³. As for the formation energy (no corrections): -0.76 eV per atom.

The structure belongs to space group Cmc2_1 (No. 36); the cell edges are 3.5713, 14.2737 and 10.5209 Å and the angles 90.00°, 90.00° and 90.00°. Symmetry generates all atoms from Pr at (0.0000, 0.1112, 0.0000), Pr at (0.0000, 0.1348, 0.6411), Np at (0.0000, 0.2013, 0.3437), As at (0.0000, 0.4561, 0.7567), N at (0.0000, 0.0360, 0.3373), N at (0.0000, 0.2887, 0.9759), N at (0.0000, 0.3229, 0.7008), N at (0.0000, 0.3441, 0.3255) and N at (0.0000, 0.4922, 0.0990).



# 2
Entry from the Alexandria database: crystalline PrSmTe at its relaxed geometry (PBE-GGA).

Its mass density is 6.70 g/cm³. As for the formation energy (no corrections): -0.53 eV per atom.

The structure belongs to space group P3m1 (No. 156); the cell edges are 4.9788, 4.9788 and 4.8342 Å and the angles 90.00°, 90.00° and 120.00°. Symmetry generates all atoms from Pr at (0.0000, 0.0000, 0.0000), Sm at (0.6667, 0.3333, 0.4958) and Te at (0.3333, 0.6667, 0.7327).



# 3
Entry from the Alexandria database: crystalline RbCaIn2Pd at its relaxed geometry (PBE-GGA).

Its mass density is 4.82 g/cm³. The calculation puts the energy relative to the elements at -258.2 meV per atom.

The structure belongs to space group P4/mmm (No. 123); the cell edges are 5.3665, 5.3665 and 5.5193 Å and the angles 90.00°, 90.00° and 90.00°. Symmetry generates all atoms from Rb at (0.0000, 0.0000, 0.0000), Ca at (0.5000, 0.5000, 0.0000), In at (0.0000, 0.5000, 0.5000) and Pd at (0.5000, 0.5000, 0.5000).



# 4
Entry from the Alexandria database: crystalline LiEr3Np3N8 at its relaxed geometry (PBE-GGA).

Its mass density is 10.37 g/cm³. As for the formation energy (no corrections): -1.08 eV per atom.

The structure belongs to space group R-3m (No. 166, hexagonal axes); the cell edges are 6.6902, 6.6902 and 16.5048 Å and the angles 90.00°, 90.00° and 120.00°. Symmetry generates all atoms from Li at (0.0000, 0.0000, 0.0000), Er at (0.0000, 0.5000, 0.5000), Np at (0.0000, 0.5000, 0.0000), N at (0.0000, 0.0000, 0.2467) and N at (0.0077, 0.5038, 0.2608).



# 5
Entry from the Alexandria database: crystalline Ti2PdPbS at its relaxed geometry (PBE-GGA).

Its mass density is 5.90 g/cm³. As for the formation energy (no corrections): 0.54 eV per atom.

The structure belongs to space group P4/mmm (No. 123); the cell edges are 4.9450, 4.9450 and 5.0783 Å and the angles 90.00°, 90.00° and 90.00°. Symmetry generates all atoms from Ti at (0.0000, 0.5000, 0.0000), Pd at (0.0000, 0.0000, 0.0000), Pb at (0.0000, 0.0000, 0.5000) and S at (0.5000, 0.5000, 0.5000).



# 6
Entry from the Alexandria database: crystalline RbPmP2 at its relaxed geometry (PBE-GGA).

Its mass density is 4.87 g/cm³. The calculation puts the energy relative to the elements at -218.2 meV per atom.

The structure belongs to space group P4/mmm (No. 123); the cell edges are 4.9660, 4.9660 and 4.0390 Å and the angles 90.00°, 90.00° and 90.00°. Symmetry generates all atoms from Rb at (0.0000, 0.0000, 0.0000), Pm at (0.5000, 0.5000, 0.0000) and P at (0.0000, 0.5000, 0.5000).



# 7
Entry from the Alexandria database: crystalline AcGdAl2 at its relaxed geometry (PBE-GGA).

Its mass density is 6.66 g/cm³. The calculation puts the energy relative to the elements at -303.2 meV per atom.

The structure belongs to space group P4/mmm (No. 123); the cell edges are 3.8168, 3.8168 and 7.5016 Å and the angles 90.00°, 90.00° and 90.00°. Symmetry generates all atoms from Ac at (0.0000, 0.0000, 0.0000), Gd at (0.0000, 0.0000, 0.5000) and Al at (0.5000, 0.5000, 0.2831).



# 8
Entry from the Alexandria database: crystalline LiAgIF6 at its relaxed geometry (PBE-GGA).

Its mass density is 4.29 g/cm³. As for the formation energy (no corrections): -1.59 eV per atom.

The structure belongs to space group P-31c (No. 163); the cell edges are 5.8959, 5.8959 and 9.1430 Å and the angles 90.00°, 90.00° and 120.00°. Symmetry generates all atoms from Li at (0.3333, 0.6667, 0.2500), Ag at (0.0000, 0.0000, 0.0000), I at (0.3333, 0.6667, 0.7500) and F at (0.0035, 0.3510, 0.1510).



| no. | E (eV per atom) |
| --- | --- |
| 1 | -8.40 |
| 2 | -4.74 |
| 3 | -2.99 |
| 4 | -9.15 |
| 5 | -5.22 |
| 6 | -4.35 |
| 7 | -6.72 |
| 8 | -3.54 |